This record from Alexandria describes crystalline MoHOF2 at its relaxed geometry. The functional is PBE with a Hubbard U.

abc: 3.195 3.195 4.331
angles: 90.00 90.00 90.00
Atoms (fractional coordinates):
Mo  0.000  0.000  0.000
H  0.500  0.500  0.500
O  0.500  0.500  0.000
F  0.000  0.500  0.500
F  0.500  0.000  0.500

Summary:
The excess energy over the best structure of this formula in the dataset is 367 meV per atom. Its symmetry is No. 123. Its crystal system is tetragonal. The calculation puts the magnetization at 3.00 μB per cell. The density of states at the Fermi level comes out at 0.0 states/eV/cell.